{
  "formula": "PrNdPt",
  "functional": "GGA-PBE",
  "state": "optimized geometry",
  "ef_ev_per_fu": -0.35,
  "sg": "No. 216",
  "lattice_angstrom": [[0.000, 3.461, 3.461], [3.461, 0.000, 3.461], [3.461, 3.461, 0.000]],
  "species": ["Pr", "Nd", "Pt"],
  "frac_coords": [[0.000, 0.000, 0.000], [0.250, 0.250, 0.250], [0.500, 0.500, 0.500]]
}

***

{
  "formula": "HoPaPt",
  "functional": "GGA-PBE",
  "state": "optimized geometry",
  "ef_ev_per_fu": -1.18,
  "sg": "No. 216",
  "e_above_lowest_polymorph_ev_per_fu": 0.00,
  "lattice_angstrom": [[0.000, 3.429, 3.429], [3.429, 0.000, 3.429], [3.429, 3.429, 0.000]],
  "species": ["Ho", "Pa", "Pt"],
  "frac_coords": [[0.000, 0.000, 0.000], [0.500, 0.500, 0.500], [0.250, 0.250, 0.250]]
}

***

{
  "formula": "Na3Hg2",
  "functional": "GGA-PBE",
  "state": "optimized geometry",
  "sg": "No. 136",
  "e_above_lowest_polymorph_ev_per_fu": 0.00,
  "lattice_angstrom": [[8.467, 0.000, 0.000], [0.000, 8.467, 0.000], [0.000, 0.000, 7.737]],
  "species": ["Na", "Na", "Na", "Na", "Na", "Na", "Na", "Na", "Na", "Na", "Na", "Na", "Hg", "Hg", "Hg", "Hg", "Hg", "Hg", "Hg", "Hg"],
  "frac_coords": [[0.000, 0.500, 0.250], [0.000, 0.500, 0.750], [0.140, 0.140, 0.000], [0.202, 0.202, 0.500], [0.298, 0.702, 0.000], [0.360, 0.640, 0.500], [0.500, 0.000, 0.250], [0.500, 0.000, 0.750], [0.640, 0.360, 0.500], [0.702, 0.298, 0.000], [0.798, 0.798, 0.500], [0.860, 0.860, 0.000], [0.128, 0.872, 0.305], [0.128, 0.872, 0.695], [0.372, 0.372, 0.195], [0.372, 0.372, 0.805], [0.628, 0.628, 0.195], [0.628, 0.628, 0.805], [0.872, 0.128, 0.305], [0.872, 0.128, 0.695]]
}

***

{
  "formula": "Li2ErO4",
  "functional": "GGA-PBE",
  "state": "optimized geometry",
  "sg": "No. 227",
  "lattice_angstrom": [[0.000, 4.345, 4.345], [4.345, 0.000, 4.345], [4.345, 4.345, 0.000]],
  "species": ["Li", "Li", "Li", "Li", "Er", "Er", "O", "O", "O", "O", "O", "O", "O", "O"],
  "frac_coords": [[0.000, 0.000, 0.000], [0.000, 0.000, 0.500], [0.000, 0.500, 0.000], [0.500, 0.000, 0.000], [0.375, 0.375, 0.375], [0.625, 0.625, 0.625], [0.209, 0.764, 0.764], [0.236, 0.236, 0.236], [0.236, 0.236, 0.791], [0.236, 0.791, 0.236], [0.764, 0.209, 0.764], [0.764, 0.764, 0.209], [0.764, 0.764, 0.764], [0.791, 0.236, 0.236]]
}

***

{
  "formula": "NbCoAsPd",
  "functional": "GGA-PBE",
  "state": "optimized geometry",
  "sg": "No. 216",
  "e_above_lowest_polymorph_ev_per_fu": 0.64,
  "lattice_angstrom": [[0.000, 3.104, 3.104], [3.104, 0.000, 3.104], [3.104, 3.104, 0.000]],
  "species": ["Nb", "Co", "As", "Pd"],
  "frac_coords": [[0.000, 0.000, 0.000], [0.750, 0.750, 0.750], [0.500, 0.500, 0.500], [0.250, 0.250, 0.250]]
}

***

{
  "formula": "GdSc2",
  "functional": "GGA-PBE",
  "state": "optimized geometry",
  "ef_ev_per_fu": 0.69,
  "sg": "No. 227",
  "e_above_lowest_polymorph_ev_per_fu": 0.02,
  "lattice_angstrom": [[0.000, 4.395, 4.395], [4.395, 0.000, 4.395], [4.395, 4.395, 0.000]],
  "species": ["Gd", "Gd", "Sc", "Sc", "Sc", "Sc"],
  "frac_coords": [[0.125, 0.125, 0.125], [0.875, 0.875, 0.875], [0.000, 0.500, 0.500], [0.500, 0.000, 0.500], [0.500, 0.500, 0.000], [0.500, 0.500, 0.500]]
}

***

{
  "formula": "ThFe3Bi2",
  "functional": "GGA-PBE",
  "state": "optimized geometry",
  "sg": "No. 191",
  "lattice_angstrom": [[5.780, 0.000, 0.000], [-2.890, 5.005, 0.000], [0.000, 0.000, 4.311]],
  "species": ["Th", "Fe", "Fe", "Fe", "Bi", "Bi"],
  "frac_coords": [[0.000, 0.000, 0.000], [0.000, 0.500, 0.500], [0.500, 0.000, 0.500], [0.500, 0.500, 0.500], [0.333, 0.667, 0.000], [0.667, 0.333, 0.000]]
}

***

{
  "formula": "NaBeMo",
  "functional": "GGA-PBE",
  "state": "optimized geometry",
  "sg": "No. 216",
  "e_above_lowest_polymorph_ev_per_fu": 0.00,
  "lattice_angstrom": [[0.000, 2.934, 2.934], [2.934, 0.000, 2.934], [2.934, 2.934, 0.000]],
  "species": ["Na", "Be", "Mo"],
  "frac_coords": [[0.000, 0.000, 0.000], [0.750, 0.750, 0.750], [0.500, 0.500, 0.500]]
}

***

{
  "formula": "RbPdNO",
  "functional": "GGA-PBE",
  "state": "optimized geometry",
  "sg": "No. 26",
  "e_above_lowest_polymorph_ev_per_fu": 0.14,
  "lattice_angstrom": [[3.799, 0.000, 0.000], [0.000, 6.281, 0.000], [0.000, 0.000, 6.530]],
  "species": ["Rb", "Rb", "Pd", "Pd", "N", "N", "O", "O"],
  "frac_coords": [[0.000, 0.185, 0.000], [0.000, 0.815, 0.500], [0.500, 0.367, 0.538], [0.500, 0.633, 0.038], [0.500, 0.437, 0.256], [0.500, 0.563, 0.756], [0.000, 0.243, 0.563], [0.000, 0.757, 0.063]]
}

***

{
  "formula": "Al2AgSn",
  "functional": "GGA-PBE",
  "state": "optimized geometry",
  "sg": "No. 216",
  "lattice_angstrom": [[0.000, 3.434, 3.434], [3.434, 0.000, 3.434], [3.434, 3.434, 0.000]],
  "species": ["Al", "Al", "Ag", "Sn"],
  "frac_coords": [[0.000, 0.000, 0.000], [0.250, 0.250, 0.250], [0.750, 0.750, 0.750], [0.500, 0.500, 0.500]]
}

***

{
  "formula": "NpTaAg",
  "functional": "GGA-PBE",
  "state": "optimized geometry",
  "ef_ev_per_fu": 4.01,
  "sg": "No. 216",
  "lattice_angstrom": [[0.000, 3.205, 3.205], [3.205, 0.000, 3.205], [3.205, 3.205, 0.000]],
  "species": ["Np", "Ta", "Ag"],
  "frac_coords": [[0.000, 0.000, 0.000], [0.500, 0.500, 0.500], [0.250, 0.250, 0.250]]
}

***

{
  "formula": "Be2PtPb",
  "functional": "GGA-PBE",
  "state": "optimized geometry",
  "sg": "No. 216",
  "lattice_angstrom": [[0.000, 3.163, 3.163], [3.163, 0.000, 3.163], [3.163, 3.163, 0.000]],
  "species": ["Be", "Be", "Pt", "Pb"],
  "frac_coords": [[0.000, 0.000, 0.000], [0.250, 0.250, 0.250], [0.750, 0.750, 0.750], [0.500, 0.500, 0.500]]
}

***

no.,electronic total energy (eV/atom)
1,-5.31
2,-7.10
3,-1.13
4,-5.53
5,-6.71
6,-5.54
7,-6.43
8,-3.83
9,-4.71
10,-3.38
11,-7.81
12,-3.81